Record 1
The following is a PBEsol calculation of an optimized crystal structure of Mg2ZnNi, from Alexandria via LeMat-Bulk.

Computed properties:
As for the volume: 15.9 A^3/atom. The total energy comes out at -2.912 eV/atom. Its formation energy is -0.119 eV per atom.

Lattice parameters (Å, degrees): 3.039 3.039 6.901 90.00 90.00 90.00
Sites, in units of the cell vectors:
Ni  0.000  0.000  0.533
Zn  0.500  0.500  0.701
Mg  0.000  0.000  0.964
Mg  0.500  0.500  0.303

***

Record 2
The following is a PBEsol calculation of an optimized crystal structure of InRe2P2, from Alexandria via LeMat-Bulk.

Computed properties:
As for the volume: 15.7 A^3/atom. The total energy comes out at -8.249 eV/atom. Its formation energy is -0.003 eV per atom.

Lattice parameters (Å, degrees): 3.662 3.662 6.405 106.61 106.61 90.00
Sites, in units of the cell vectors:
Re  0.378  0.378  0.756
Re  0.622  0.622  0.244
P  0.250  0.750  0.500
P  0.750  0.250  0.500
In  0.000  0.000  0.000

***

Record 3
The following is a PBEsol calculation of an optimized crystal structure of Ba2TbMoO6, from Alexandria via LeMat-Bulk.

Computed properties:
The calculation puts the raw formation energy at -28.46 eV per formula unit. As for the volume: 14.7 A^3/atom. The total energy comes out at -8.104 eV/atom.

Lattice parameters (Å, degrees): 5.922 5.922 5.922 60.00 60.00 60.00
Sites, in units of the cell vectors:
Mo  0.500  0.500  0.500
Tb  0.000  0.000  0.000
Ba  0.750  0.750  0.750
Ba  0.250  0.250  0.250
O  0.734  0.266  0.734
O  0.734  0.266  0.266
O  0.266  0.734  0.734
O  0.266  0.266  0.734
O  0.266  0.734  0.266
O  0.734  0.734  0.266

***

Record 4
The following is a PBEsol calculation of an optimized crystal structure of CsK2SrHf, from Alexandria via LeMat-Bulk.

Computed properties:
As for the volume: 71.9 A^3/atom. The total energy comes out at -1.507 eV/atom. Its formation energy is 1.604 eV per atom.

Lattice parameters (Å, degrees): 7.021 7.021 7.292 90.00 90.00 90.00
Site moments in Bohr magnetons follow the coordinates.
Sites, in units of the cell vectors:
Cs  0.000  0.000  0.500  0.05
Sr  0.000  0.000  0.000  0.15
K  0.000  0.500  0.000  0.03
K  0.500  0.000  0.000  0.03
Hf  0.500  0.500  0.500  1.39

***

Record 5
The following is a PBEsol calculation of an optimized crystal structure of YFe2Sb, from Alexandria via LeMat-Bulk.

Computed properties:
The calculation puts the raw formation energy at 0.36 eV per formula unit. As for the volume: 17.6 A^3/atom. The total energy comes out at -7.236 eV/atom.

Lattice parameters (Å, degrees): 4.122 4.122 5.057 114.05 114.05 90.00
Site moments in Bohr magnetons follow the coordinates.
Sites, in units of the cell vectors:
Fe  0.000  0.000  0.000  2.31
Fe  0.750  0.250  0.500  2.35
Sb  0.500  0.500  0.000  0.00
Y  0.250  0.750  0.500  -0.29

***

Record 6
The following is a PBEsol calculation of an optimized crystal structure of MnFe, from Alexandria via LeMat-Bulk.

Computed properties:
As for the volume: 10.1 A^3/atom. The total energy comes out at -9.299 eV/atom. Its formation energy is 0.063 eV per atom.

Lattice parameters (Å, degrees): 3.432 3.432 4.191 114.17 114.17 90.00
Site moments in Bohr magnetons follow the coordinates.
Sites, in units of the cell vectors:
Mn  0.750  0.250  0.500  -0.17
Mn  0.500  0.500  0.000  -0.17
Fe  0.250  0.750  0.500  0.29
Fe  0.000  0.000  0.000  0.29

***

Record 7
The following is a PBEsol calculation of an optimized crystal structure of CsNa2Tl2, from Alexandria via LeMat-Bulk.

Computed properties:
As for the volume: 33.8 A^3/atom. The total energy comes out at -1.845 eV/atom. Its formation energy is -0.044 eV per atom. Its relative energy among the computed polymorphs is 0 meV per atom.

Lattice parameters (Å, degrees): 3.614 9.666 9.666 90.00 90.00 90.00
Sites, in units of the cell vectors:
Cs  0.000  0.000  0.000
Cs  0.000  0.500  0.500
Na  0.500  0.173  0.673
Na  0.500  0.673  0.827
Na  0.500  0.827  0.327
Na  0.500  0.327  0.173
Tl  0.000  0.386  0.886
Tl  0.000  0.886  0.614
Tl  0.000  0.614  0.114
Tl  0.000  0.114  0.386

***

Record 8
The following is a PBEsol calculation of an optimized crystal structure of ZrTeAs2, from Alexandria via LeMat-Bulk.

Computed properties:
The calculation puts the raw formation energy at -2.06 eV per formula unit. As for the volume: 20.9 A^3/atom. The total energy comes out at -6.223 eV/atom.

Lattice parameters (Å, degrees): 3.526 3.526 6.718 90.00 90.00 90.00
Sites, in units of the cell vectors:
As  0.000  0.000  0.192
As  0.000  0.000  0.808
Te  0.500  0.500  0.500
Zr  0.500  0.500  0.000

***

Record 9
The following is a PBEsol calculation of an optimized crystal structure of Al2P3H3O9, from Alexandria via LeMat-Bulk.

Computed properties:
As for the volume: 11.2 A^3/atom. The total energy comes out at -6.931 eV/atom.

Lattice parameters (Å, degrees): 7.124 7.868 7.868 120.00 90.00 90.00
Sites, in units of the cell vectors:
Al  0.056  0.667  0.333
Al  0.556  0.333  0.667
Al  0.944  0.333  0.667
Al  0.444  0.667  0.333
H  0.750  0.016  0.843
H  0.750  0.826  0.984
H  0.750  0.157  0.174
H  0.250  0.984  0.157
H  0.250  0.174  0.016
H  0.250  0.843  0.826
O  0.930  0.442  0.276
O  0.930  0.833  0.558
O  0.930  0.724  0.167
O  0.430  0.558  0.724
O  0.430  0.167  0.442
O  0.430  0.276  0.833
O  0.070  0.558  0.724
O  0.070  0.167  0.442
O  0.070  0.276  0.833
O  0.570  0.442  0.276
O  0.570  0.833  0.558
O  0.570  0.724  0.167
O  0.750  0.382  0.518
O  0.750  0.136  0.618
O  0.750  0.482  0.864
O  0.250  0.618  0.482
O  0.250  0.864  0.382
O  0.250  0.518  0.136
P  0.750  0.360  0.310
P  0.750  0.950  0.640
P  0.750  0.690  0.050
P  0.250  0.640  0.690
P  0.250  0.050  0.360
P  0.250  0.310  0.950

***

Record 10
The following is a PBEsol calculation of an optimized crystal structure of LiCa2Mg, from Alexandria via LeMat-Bulk.

Computed properties:
As for the volume: 31.2 A^3/atom. The total energy comes out at -1.994 eV/atom. Its formation energy is -0.007 eV per atom.

Lattice parameters (Å, degrees): 3.779 5.228 6.593 90.00 106.49 90.00
Sites, in units of the cell vectors:
Ca  0.033  0.000  0.943
Ca  0.716  0.500  0.305
Mg  0.440  0.500  0.759
Li  0.311  0.000  0.493

***

Record 11
The following is a PBEsol calculation of an optimized crystal structure of LiInHgPb2, from Alexandria via LeMat-Bulk.

Computed properties:
As for the volume: 35.5 A^3/atom. The total energy comes out at -2.328 eV/atom. Its formation energy is 0.374 eV per atom.

Lattice parameters (Å, degrees): 5.395 5.735 5.735 90.00 90.00 90.00
Sites, in units of the cell vectors:
Pb  0.000  0.000  0.500
Pb  0.000  0.500  0.000
Li  0.500  0.500  0.500
Hg  0.000  0.000  0.000
In  0.500  0.000  0.000

***

Record 12
The following is a PBEsol calculation of an optimized crystal structure of HPdBr2, from Alexandria via LeMat-Bulk.

Computed properties:
As for the volume: 17.5 A^3/atom. The total energy comes out at -2.787 eV/atom. Its relative energy among the computed polymorphs is 226 meV per atom.

Lattice parameters (Å, degrees): 3.309 3.309 7.631 77.48 77.48 60.00
Sites, in units of the cell vectors:
H  0.500  0.500  0.500
Br  0.894  0.894  0.319
Br  0.106  0.106  0.681
Pd  0.000  0.000  0.000

***

What is the volume in the sixth record? 10.1 A^3/atom